1.
DFT (PBE-GGA) results for crystalline Nd2Br5Cl at its relaxed geometry.

Properties
total energy = -4.402 eV/atom
symmetry = No. 6
total magnetic moment = 0.0 μB per formula unit

Unit cell a=7.909 b=4.357 c=7.969 alpha=90.00 beta=118.98 gamma=90.00
Fractional coordinates of all 8 atoms:
Nd 0.000 0.000 0.000
Nd 0.329 0.500 0.670
Br 0.050 0.000 0.417
Br 0.282 0.500 0.239
Br 0.576 0.000 0.632
Br 0.746 0.500 0.035
Br 0.960 0.500 0.718
Cl 0.345 0.000 0.921


2.
DFT (PBE-GGA) results for crystalline KNaNiW at its relaxed geometry.

Properties
relative energy among the computed polymorphs = 0.013 eV per atom
total energy = -3.639 eV/atom
symmetry = No. 216
total magnetic moment = 4.0 μB per formula unit

Unit cell a=4.926 b=4.926 c=4.926 alpha=60.00 beta=60.00 gamma=60.00
Fractional coordinates of all 4 atoms:
K 0.000 0.000 0.000
Na 0.750 0.750 0.750
Ni 0.250 0.250 0.250
W 0.500 0.500 0.500


3.
DFT (PBE-GGA) results for crystalline TbNdCd2Ag4 at its relaxed geometry.

Properties
total energy = -3.099 eV/atom
symmetry = No. 123
total magnetic moment = 0.0 μB per formula unit
formation energy = -0.289 eV/atom

Unit cell a=5.003 b=5.003 c=7.070 alpha=90.00 beta=90.00 gamma=90.00
Fractional coordinates of all 8 atoms:
Tb 0.000 0.000 0.000
Nd 0.500 0.500 0.500
Cd 0.000 0.000 0.500
Cd 0.500 0.500 0.000
Ag 0.000 0.500 0.241
Ag 0.000 0.500 0.759
Ag 0.500 0.000 0.241
Ag 0.500 0.000 0.759


4.
DFT (PBE-GGA) results for crystalline Mo3W at its relaxed geometry.

Properties
total energy = -11.379 eV/atom
symmetry = No. 225
total magnetic moment = 0.0 μB per formula unit
formation energy = -0.003 eV/atom

Unit cell a=4.478 b=4.478 c=4.478 alpha=60.00 beta=60.00 gamma=60.00
Fractional coordinates of all 4 atoms:
Mo 0.000 0.000 0.000
Mo 0.250 0.250 0.250
Mo 0.750 0.750 0.750
W 0.500 0.500 0.500


What is the total energy in the first record? -4.402 eV/atom


Among the records above, which one has the highest total magnetic moment? KNaNiW